No. 1
VASP calculation (PBE) on a geometry-optimized Rb2TiF8 structure.

Values from the calculation:
Space-group type: C2/m
DFT total energy: -4.911 eV per atom
Mass density: 2.87 Mg/m³

Cell: 6.359 6.359 6.997 Å, 113.30 113.30 58.31°
Positions (direct):
Rb 0.250 0.250 0.245
Rb 0.750 0.750 0.755
Ti 0.000 0.000 0.500
F 0.123 0.693 0.575
F 0.142 0.142 0.787
F 0.307 0.877 0.425
F 0.477 0.477 0.885
F 0.523 0.523 0.115
F 0.693 0.123 0.575
F 0.858 0.858 0.213
F 0.877 0.307 0.425



No. 2
VASP calculation (PBE) on a geometry-optimized Rb2TiF4 structure.

Values from the calculation:
Space-group type: I4/mmm
DFT total energy: -5.236 eV per atom
Mass density: 3.83 Mg/m³

Cell: 7.683 7.683 7.683 Å, 147.88 147.88 46.06°
Positions (direct):
Rb 0.147 0.147 0.000
Rb 0.853 0.853 0.000
Ti 0.500 0.500 0.000
F 0.000 0.500 0.500
F 0.348 0.348 0.000
F 0.500 0.000 0.500
F 0.652 0.652 0.000



No. 3
VASP calculation (PBE) on a geometry-optimized Rb2TiF structure.

Values from the calculation:
Space-group type: Fm-3m
Offset from the most stable computed form: 390.1 meV per atom
Mass density: 2.38 Mg/m³

Cell: 6.164 6.164 6.164 Å, 60.00 60.00 60.00°
Positions (direct):
Rb 0.250 0.250 0.250
Rb 0.750 0.750 0.750
Ti 0.000 0.000 0.000
F 0.500 0.500 0.500



No. 4
VASP calculation (PBE) on a geometry-optimized RbTi2F structure.

Values from the calculation:
Space-group type: Fm-3m
DFT total energy: -3.571 eV per atom
Mass density: 4.07 Mg/m³

Cell: 4.870 4.870 4.870 Å, 60.00 60.00 60.00°
Positions (direct):
Rb 0.000 0.000 0.000
Ti 0.250 0.250 0.250
Ti 0.750 0.750 0.750
F 0.500 0.500 0.500



No. 5
VASP calculation (PBE) on a geometry-optimized Rb2Ti2F structure.

Values from the calculation:
Space-group type: I4/mmm
Offset from the most stable computed form: 0.0 meV per atom
Mass density: 2.71 Mg/m³

Cell: 6.135 6.135 6.135 Å, 105.40 105.40 117.96°
Positions (direct):
Rb 0.250 0.750 0.500
Rb 0.750 0.250 0.500
Ti 0.160 0.160 0.000
Ti 0.840 0.840 0.000
F 0.500 0.500 0.000



No. 6
VASP calculation (PBE) on a geometry-optimized Rb2TiF5 structure.

Values from the calculation:
Space-group type: Pnma
DFT total energy: -5.511 eV per atom
Mass density: 3.68 Mg/m³

Cell: 7.753 5.961 12.269 Å, 90.00 90.00 90.00°
Positions (direct):
Rb 0.013 0.250 0.227
Rb 0.151 0.750 0.416
Rb 0.349 0.250 0.916
Rb 0.487 0.750 0.727
Rb 0.513 0.250 0.273
Rb 0.651 0.750 0.084
Rb 0.849 0.250 0.584
Rb 0.987 0.750 0.773
Ti 0.160 0.750 0.060
Ti 0.340 0.250 0.560
Ti 0.660 0.750 0.440
Ti 0.840 0.250 0.940
F 0.000 0.000 0.000
F 0.000 0.500 0.000
F 0.019 0.750 0.191
F 0.186 0.013 0.614
F 0.186 0.487 0.614
F 0.225 0.250 0.415
F 0.275 0.750 0.915
F 0.314 0.513 0.114
F 0.314 0.987 0.114
F 0.481 0.250 0.691
F 0.500 0.000 0.500
F 0.500 0.500 0.500
F 0.519 0.750 0.309
F 0.686 0.013 0.886
F 0.686 0.487 0.886
F 0.725 0.250 0.085
F 0.775 0.750 0.585
F 0.814 0.513 0.386
F 0.814 0.987 0.386
F 0.981 0.250 0.809



No. 7
VASP calculation (PBE) on a geometry-optimized RbTi3F9 structure.

Values from the calculation:
Space-group type: P6/mmm
DFT total energy: -6.372 eV per atom
Mass density: 3.20 Mg/m³

Cell: 7.746 7.746 3.993 Å, 90.00 90.00 120.00°
Positions (direct):
Rb 0.000 0.000 0.000
Ti 0.000 0.500 0.500
Ti 0.500 0.000 0.500
Ti 0.500 0.500 0.500
F 0.000 0.500 0.000
F 0.205 0.411 0.500
F 0.205 0.795 0.500
F 0.411 0.205 0.500
F 0.500 0.000 0.000
F 0.500 0.500 0.000
F 0.589 0.795 0.500
F 0.795 0.205 0.500
F 0.795 0.589 0.500



No. 8
VASP calculation (PBE) on a geometry-optimized RbTiF2 structure.

Values from the calculation:
Space-group type: R-3m
Offset from the most stable computed form: 0.0 meV per atom
Mass density: 3.38 Mg/m³

Cell: 7.571 7.571 7.571 Å, 27.97 27.97 27.97°
Positions (direct):
Rb 0.000 0.000 0.000
Ti 0.500 0.500 0.500
F 0.412 0.412 0.412
F 0.588 0.588 0.588



No. 9
VASP calculation (PBE) on a geometry-optimized Rb2TiF5 structure.

Values from the calculation:
Space-group type: P-1
DFT total energy: -5.513 eV per atom
Mass density: 3.37 Mg/m³

Cell: 4.084 6.399 6.976 Å, 116.16 106.93 90.11°
Positions (direct):
Rb 0.170 0.170 0.340
Rb 0.830 0.830 0.660
Ti 0.500 0.500 0.000
F 0.000 0.500 0.000
F 0.378 0.594 0.756
F 0.384 0.165 0.767
F 0.616 0.835 0.233
F 0.622 0.406 0.244



No. 10
VASP calculation (PBE) on a geometry-optimized RbTiF2 structure.

Values from the calculation:
Space-group type: I-42d
Offset from the most stable computed form: 239.0 meV per atom
Mass density: 3.21 Mg/m³

Cell: 7.373 7.373 7.373 Å, 138.03 138.03 60.86°
Positions (direct):
Rb 0.000 0.000 0.000
Rb 0.750 0.250 0.500
Ti 0.250 0.750 0.500
Ti 0.500 0.500 0.000
F 0.303 0.625 0.178
F 0.375 0.553 0.678
F 0.447 0.125 0.822
F 0.875 0.697 0.322



No. 11
VASP calculation (PBE) on a geometry-optimized Rb2Ti2F structure.

Values from the calculation:
Space-group type: P4/mbm
Offset from the most stable computed form: 277.8 meV per atom
Mass density: 2.48 Mg/m³

Cell: 10.205 10.205 3.676 Å, 90.00 90.00 90.00°
Positions (direct):
Rb 0.215 0.285 0.000
Rb 0.285 0.785 0.000
Rb 0.715 0.215 0.000
Rb 0.785 0.715 0.000
Ti 0.071 0.571 0.500
Ti 0.429 0.071 0.500
Ti 0.571 0.929 0.500
Ti 0.929 0.429 0.500
F 0.000 0.000 0.500
F 0.500 0.500 0.500



No. 12
VASP calculation (PBE) on a geometry-optimized RbTi4F12 structure.

Values from the calculation:
Space-group type: Im-3m
DFT total energy: -6.438 eV per atom
Mass density: 3.18 Mg/m³

Cell: 6.994 6.994 6.994 Å, 109.47 109.47 109.47°
Positions (direct):
Rb 0.000 0.000 0.000
Ti 0.000 0.000 0.500
Ti 0.000 0.500 0.000
Ti 0.500 0.000 0.000
Ti 0.500 0.500 0.500
F 0.000 0.249 0.751
F 0.000 0.751 0.249
F 0.249 0.000 0.751
F 0.249 0.249 0.498
F 0.249 0.498 0.249
F 0.249 0.751 0.000
F 0.498 0.249 0.249
F 0.502 0.751 0.751
F 0.751 0.000 0.249
F 0.751 0.249 0.000
F 0.751 0.502 0.751
F 0.751 0.751 0.502



No. 13
VASP calculation (PBE) on a geometry-optimized Rb2Ti3F10 structure.

Values from the calculation:
Space-group type: C2/m
DFT total energy: -6.075 eV per atom
Mass density: 3.60 Mg/m³

Cell: 10.309 10.309 8.372 Å, 111.95 111.95 34.70°
Positions (direct):
Rb 0.113 0.113 0.224
Rb 0.212 0.212 0.826
Rb 0.788 0.788 0.174
Rb 0.887 0.887 0.776
Ti 0.267 0.733 0.500
Ti 0.319 0.319 0.489
Ti 0.420 0.420 0.020
Ti 0.580 0.580 0.980
Ti 0.681 0.681 0.511
Ti 0.733 0.267 0.500
F 0.000 0.500 0.500
F 0.021 0.021 0.663
F 0.123 0.593 0.024
F 0.164 0.623 0.487
F 0.270 0.270 0.244
F 0.294 0.706 0.000
F 0.368 0.368 0.752
F 0.377 0.836 0.513
F 0.407 0.877 0.976
F 0.472 0.472 0.295
F 0.500 0.000 0.500
F 0.528 0.528 0.705
F 0.593 0.123 0.024
F 0.623 0.164 0.487
F 0.632 0.632 0.248
F 0.706 0.294 0.000
F 0.730 0.730 0.756
F 0.836 0.377 0.513
F 0.877 0.407 0.976
F 0.979 0.979 0.337



No. 14
VASP calculation (PBE) on a geometry-optimized RbTiF4 structure.

Values from the calculation:
Space-group type: P4/nmm
Offset from the most stable computed form: 114.9 meV per atom
Mass density: 3.03 Mg/m³

Cell: 8.210 8.210 3.408 Å, 90.00 90.00 90.00°
Positions (direct):
Rb 0.250 0.250 0.162
Rb 0.750 0.750 0.838
Ti 0.250 0.750 0.500
Ti 0.750 0.250 0.500
F 0.034 0.750 0.331
F 0.250 0.534 0.669
F 0.250 0.966 0.669
F 0.466 0.750 0.331
F 0.534 0.250 0.669
F 0.750 0.034 0.331
F 0.750 0.466 0.331
F 0.966 0.250 0.669



No. 15
VASP calculation (PBE) on a geometry-optimized RbTiTl2F6 structure.

Values from the calculation:
Space-group type: P2_1/c
DFT total energy: -5.116 eV per atom
Mass density: 5.47 Mg/m³

Cell: 6.194 6.881 11.138 Å, 90.00 122.91 90.00°
Positions (direct):
Rb 0.000 0.000 0.000
Rb 0.000 0.500 0.500
Ti 0.500 0.000 0.500
Ti 0.500 0.500 0.000
Tl 0.230 0.043 0.732
Tl 0.230 0.457 0.232
Tl 0.770 0.543 0.768
Tl 0.770 0.957 0.268
F 0.202 0.146 0.488
F 0.202 0.354 0.988
F 0.295 0.735 0.944
F 0.295 0.765 0.444
F 0.370 0.060 0.292
F 0.370 0.440 0.792
F 0.630 0.560 0.208
F 0.630 0.940 0.708
F 0.705 0.235 0.556
F 0.705 0.265 0.056
F 0.798 0.646 0.012
F 0.798 0.854 0.512



No. 16
VASP calculation (PBE) on a geometry-optimized Rb2Ti3TlF12 structure.

Values from the calculation:
Space-group type: R-3m
DFT total energy: -5.885 eV per atom
Mass density: 3.95 Mg/m³

Cell: 7.567 7.567 7.567 Å, 61.10 61.10 61.10°
Positions (direct):
Rb 0.116 0.116 0.116
Rb 0.884 0.884 0.884
Ti 0.000 0.500 0.500
Ti 0.500 0.000 0.500
Ti 0.500 0.500 0.000
Tl 0.500 0.500 0.500
F 0.048 0.628 0.628
F 0.219 0.219 0.614
F 0.219 0.614 0.219
F 0.372 0.372 0.952
F 0.372 0.952 0.372
F 0.386 0.781 0.781
F 0.614 0.219 0.219
F 0.628 0.048 0.628
F 0.628 0.628 0.048
F 0.781 0.386 0.781
F 0.781 0.781 0.386
F 0.952 0.372 0.372



No. 17
VASP calculation (PBE) on a geometry-optimized RbTiTl2F8 structure.

Values from the calculation:
Space-group type: P-1
DFT total energy: -5.007 eV per atom
Mass density: 5.29 Mg/m³

Cell: 5.209 5.792 7.225 Å, 89.22 88.34 89.33°
Positions (direct):
Rb 0.000 0.000 0.000
Ti 0.000 0.000 0.500
Tl 0.490 0.502 0.275
Tl 0.510 0.498 0.725
F 0.112 0.761 0.666
F 0.126 0.231 0.659
F 0.308 0.987 0.361
F 0.490 0.277 0.002
F 0.510 0.723 0.998
F 0.692 0.013 0.639
F 0.874 0.769 0.341
F 0.888 0.239 0.334